(1)
# Hf2CuH (GGA-PBE, relaxed)
# E above lowest polymorph, meV per atom: 0.0
data_Hf2CuH
_space_group_name_H-M_alt 'C 1 2/m 1'
_space_group_IT_number 12
_cell_length_a 13.3113
_cell_length_b 3.4155
_cell_length_c 5.9310
_cell_angle_alpha 90.00
_cell_angle_beta 116.41
_cell_angle_gamma 90.00
loop_
_space_group_symop_operation_xyz
'x,y,z'
'-x,-y,-z'
'-x,y,-z'
'x,-y,z'
'x+1/2,y+1/2,z'
'-x+1/2,-y+1/2,-z'
'-x+1/2,y+1/2,-z'
'x+1/2,-y+1/2,z'
loop_
_atom_site_label
_atom_site_fract_x
_atom_site_fract_y
_atom_site_fract_z
_atom_site_occupancy
Hf1 0.0049 0.0000 0.2629 1
Hf2 0.2150 0.5000 0.7053 1
Cu1 0.1153 0.5000 0.1071 1
H1 0.1216 0.0000 0.6298 1

=====

(2)
# Hf2CuH (GGA-PBE, relaxed)
# E above lowest polymorph, meV per atom: 92.4
data_Hf2CuH
_space_group_name_H-M_alt 'I -4 2 d'
_space_group_IT_number 122
_space_group_name_Hall 'I -4 2bw'
_cell_length_a 6.1395
_cell_length_b 6.1395
_cell_length_c 6.4135
_cell_angle_alpha 90.00
_cell_angle_beta 90.00
_cell_angle_gamma 90.00
loop_
_atom_site_label
_atom_site_fract_x
_atom_site_fract_y
_atom_site_fract_z
_atom_site_occupancy
Hf1 0.1808 0.2500 0.1250 1
Cu1 0.0000 0.0000 0.5000 1
H1 0.0000 0.0000 0.0000 1

=====

(3)
HfCuH after structural relaxation. Source: the Alexandria database, functional GGA-PBE.

CIF file:
```
data_HfCuH
_space_group_name_H-M_alt 'P 4/n m m'
_space_group_IT_number 129
_cell_length_a 3.1808
_cell_length_b 3.1808
_cell_length_c 7.1247
_cell_angle_alpha 90.00
_cell_angle_beta 90.00
_cell_angle_gamma 90.00
loop_
_space_group_symop_operation_xyz
'x,y,z'
'-x,-y,-z'
'-y+1/2,x,z'
'y+1/2,-x,-z'
'-x+1/2,-y+1/2,z'
'x+1/2,y+1/2,-z'
'y,-x+1/2,z'
'-y,x+1/2,-z'
'x+1/2,-y,-z'
'-x+1/2,y,z'
'-y,-x,-z'
'y,x,z'
'-x,y+1/2,-z'
'x,-y+1/2,z'
'y+1/2,x+1/2,-z'
'-y+1/2,-x+1/2,z'
loop_
_atom_site_label
_atom_site_fract_x
_atom_site_fract_y
_atom_site_fract_z
_atom_site_occupancy
Hf1 0.2500 0.2500 0.1904 1
Cu1 0.2500 0.2500 0.5852 1
H1 0.2500 0.7500 0.0000 1
```

=====

(4)
# HfCuH2 (GGA-PBE, relaxed)
# E above lowest polymorph, meV per atom: 57.2
data_HfCuH2
_space_group_name_H-M_alt 'F m -3 m'
_space_group_IT_number 225
_space_group_name_Hall '-F 4 2 3'
_cell_length_a 5.3177
_cell_length_b 5.3177
_cell_length_c 5.3177
_cell_angle_alpha 90.00
_cell_angle_beta 90.00
_cell_angle_gamma 90.00
loop_
_atom_site_label
_atom_site_fract_x
_atom_site_fract_y
_atom_site_fract_z
_atom_site_occupancy
Hf1 0.0000 0.0000 0.0000 1
Cu1 0.0000 0.0000 0.5000 1
H1 0.2500 0.2500 0.2500 1

=====

(5)
# HfCu2H (GGA-PBE, relaxed)
# E above lowest polymorph, meV per atom: 410.5
data_HfCu2H
_space_group_name_H-M_alt 'F m -3 m'
_space_group_IT_number 225
_space_group_name_Hall '-F 4 2 3'
_cell_length_a 6.0388
_cell_length_b 6.0388
_cell_length_c 6.0388
_cell_angle_alpha 90.00
_cell_angle_beta 90.00
_cell_angle_gamma 90.00
loop_
_atom_site_label
_atom_site_fract_x
_atom_site_fract_y
_atom_site_fract_z
_atom_site_occupancy
Hf1 0.0000 0.0000 0.0000 1
Cu1 0.2500 0.2500 0.2500 1
H1 0.0000 0.0000 0.5000 1

=====

(6)
# HfCu2H2 (GGA-PBE, relaxed)
# E above lowest polymorph, meV per atom: 0.0
data_HfCu2H2
_space_group_name_H-M_alt 'P 4/m b m'
_space_group_IT_number 127
_space_group_name_Hall '-P 4 2ab'
_cell_length_a 5.2259
_cell_length_b 5.2259
_cell_length_c 3.9382
_cell_angle_alpha 90.00
_cell_angle_beta 90.00
_cell_angle_gamma 90.00
loop_
_atom_site_label
_atom_site_fract_x
_atom_site_fract_y
_atom_site_fract_z
_atom_site_occupancy
Hf1 0.0000 0.0000 0.0000 1
Cu1 0.1686 0.3314 0.5000 1
H1 0.1530 0.3470 0.0000 1

=====

E (computed, eV per atom): -7.01 -6.92 -6.11 -5.18 -4.76 -5.06
Calculated density (computed, g cm⁻³): 11.59 11.58 11.20 10.78 9.25 9.50
Calculated volume (computed, Å³/atom): 15.1 15.1 12.0 9.4 13.8 10.8